# 1
Compound: AcEr3Rh8
Source: Alexandria via LeMat-Bulk
Functional: PBE-GGA
Structure: relaxed

abc: 5.3681 5.3681 8.8364
angles: 90.00 90.00 120.00
Fractional positions:
1 Rh 0.3333 0.6667 0.0006
2 Rh 0.9954 0.4977 0.7587
3 Rh 0.3333 0.6667 0.4982
4 Rh 0.1655 0.3309 0.2437
5 Rh 0.1655 0.8345 0.2437
6 Rh 0.6691 0.8345 0.2437
7 Rh 0.5023 0.4977 0.7587
8 Rh 0.5023 0.0046 0.7587
9 Ac 0.0000 0.0000 0.5679
10 Er 0.6667 0.3333 0.4244
11 Er 0.6667 0.3333 0.0637
12 Er 0.0000 0.0000 0.9381

Summary:
DOS(E_F) = 9.65 states/eV per cell
Space-group type = P3m1 (156)
Total magnetic moment = 0.00 μB/f.u.
Total DFT energy (no corrections) = -7.0423 eV/atom


# 2
Compound: AcErRh
Source: Alexandria via LeMat-Bulk
Functional: PBE-GGA
Structure: relaxed

abc: 5.0212 5.0212 5.0212
angles: 60.00 60.00 60.00
Fractional positions:
1 Rh 0.2500 0.2500 0.2500
2 Ac 0.0000 0.0000 0.0000
3 Er 0.5000 0.5000 0.5000

Summary:
DOS(E_F) = 3.09 states/eV per cell
Space-group type = F-43m (216)
Total magnetic moment = 0.00 μB/f.u.
Total DFT energy (no corrections) = -5.7813 eV/atom


# 3
Compound: AcErRh
Source: Alexandria via LeMat-Bulk
Functional: PBE-GGA
Structure: relaxed

abc: 3.6042 3.6042 6.9896
angles: 104.94 104.94 90.00
Fractional positions:
1 Rh 0.6820 0.6820 0.3640
2 Er 0.2889 0.2889 0.5777
3 Ac 0.0292 0.0292 0.0583

Summary:
DOS(E_F) = 3.24 states/eV per cell
Space-group type = I4mm (107)
Total magnetic moment = 0.00 μB/f.u.
Total DFT energy (no corrections) = -5.7886 eV/atom


# 4
Compound: AcErRh4
Source: Alexandria via LeMat-Bulk
Functional: PBE-GGA
Structure: relaxed

abc: 5.4391 5.4391 5.4391
angles: 60.00 60.00 60.00
Fractional positions:
1 Rh 0.6243 0.6243 0.6243
2 Rh 0.6243 0.6243 0.1270
3 Rh 0.1270 0.6243 0.6243
4 Rh 0.6243 0.1270 0.6243
5 Ac 0.0000 0.0000 0.0000
6 Er 0.2500 0.2500 0.2500

Summary:
DOS(E_F) = 3.72 states/eV per cell
Space-group type = F-43m (216)
Total magnetic moment = 0.00 μB/f.u.
Total DFT energy (no corrections) = -6.9640 eV/atom